{
  "formula": "SrAg2Ru",
  "functional": "GGA-PBE",
  "state": "relaxed",
  "space_group": "No. 225",
  "cell": [[0.000, 3.500, 3.500], [3.500, 0.000, 3.500], [3.500, 3.500, 0.000]],
  "species": ["Ag", "Ru", "Sr", "Ag"],
  "frac_coords": [[0.750, 0.750, 0.750], [0.500, 0.500, 0.500], [0.000, 0.000, 0.000], [0.250, 0.250, 0.250]]
}


{
  "formula": "SrAgRu",
  "functional": "GGA-PBE",
  "state": "relaxed",
  "space_group": "No. 156",
  "cell": [[-2.557, 1.660, 1.019], [-0.173, -3.196, -0.297], [2.263, -0.764, 6.919]],
  "species": ["Sr", "Ag", "Ru"],
  "frac_coords": [[0.667, 0.333, 0.646], [0.000, 0.000, 0.029], [0.333, 0.667, 0.325]]
}


Table of energy of formation from the pure elements (meV per atom), in record order: 461 842
Table of magnetic moment (μB per cell), in record order: 1.10 0.86